Entry 1:
This record from Alexandria via LeMat-Bulk describes a crystal of Y2CdRh2 relaxed with PBEsol. The functional is meta-GGA SCAN.

Summary:
SG   No. 139
Energy   -156.3 eV per cell
Total moment   0.00 μB/cell

Lattice parameters (Å, degrees): 5.4613 5.4613 5.4613 122.69 122.69 85.39
Atoms (fractional coordinates):
1 Y 0.2500 0.7500 0.5000
2 Y 0.7500 0.2500 0.5000
3 Cd 0.0000 0.0000 0.0000
4 Rh 0.3391 0.3391 0.0000
5 Rh 0.6609 0.6609 0.0000

Entry 2:
This record from Alexandria via LeMat-Bulk describes a crystal of LaZn2Re relaxed with PBEsol. The functional is meta-GGA SCAN.

Summary:
SG   No. 65
Total moment   0.00 μB/cell
Excess energy over the best structure of this formula in the dataset   297 meV per atom

Lattice parameters (Å, degrees): 5.0300 5.0300 2.9629 90.00 90.00 108.79
Atoms (fractional coordinates):
1 La 0.0000 0.0000 0.0000
2 Zn 0.0000 0.5000 0.5000
3 Zn 0.5000 0.0000 0.5000
4 Re 0.5000 0.5000 0.0000

Entry 3:
This record from Alexandria via LeMat-Bulk describes a crystal of CrHg3Cl relaxed with PBEsol. The functional is meta-GGA SCAN.

Summary:
SG   No. 221
Energy   -227.3 eV per cell
Total moment   5.12 μB/cell

Lattice parameters (Å, degrees): 5.3964 5.3964 5.3964 90.00 90.00 90.00
Atoms (fractional coordinates):
1 Cr 0.0000 0.0000 0.0000
2 Hg 0.0000 0.5000 0.5000
3 Hg 0.5000 0.0000 0.5000
4 Hg 0.5000 0.5000 0.0000
5 Cl 0.5000 0.5000 0.5000

Entry 4:
This record from Alexandria via LeMat-Bulk describes a crystal of ScAg3 relaxed with PBEsol. The functional is meta-GGA SCAN.

Summary:
SG   No. 223
Energy   -218.5 eV per cell
Total moment   0.00 μB/cell

Lattice parameters (Å, degrees): 5.1998 5.1998 5.1998 90.00 90.00 90.00
Atoms (fractional coordinates):
1 Sc 0.0000 0.0000 0.0000
2 Sc 0.5000 0.5000 0.5000
3 Ag 0.0000 0.2500 0.5000
4 Ag 0.0000 0.7500 0.5000
5 Ag 0.2500 0.5000 0.0000
6 Ag 0.5000 0.0000 0.2500
7 Ag 0.5000 0.0000 0.7500
8 Ag 0.7500 0.5000 0.0000

Entry 5:
This record from Alexandria via LeMat-Bulk describes a crystal of CuGe2AsIr relaxed with PBEsol. The functional is meta-GGA SCAN.

Summary:
SG   No. 123
Energy   -138.8 eV per cell
Total moment   0.00 μB/cell

Lattice parameters (Å, degrees): 4.8697 4.8697 4.5162 90.00 90.00 90.00
Atoms (fractional coordinates):
1 Cu 0.0000 0.0000 0.0000
2 Ge 0.0000 0.5000 0.5000
3 Ge 0.5000 0.0000 0.5000
4 As 0.5000 0.5000 0.5000
5 Ir 0.5000 0.5000 0.0000

Entry 6:
This record from Alexandria via LeMat-Bulk describes a crystal of Sr2HgMo relaxed with PBEsol. The functional is meta-GGA SCAN.

Summary:
SG   No. 166
Energy   -144.8 eV per cell
Total moment   1.95 μB/cell

Lattice parameters (Å, degrees): 10.4193 10.4193 10.4193 19.39 19.39 19.39
Atoms (fractional coordinates):
1 Sr 0.2450 0.2450 0.2450
2 Sr 0.7550 0.7550 0.7550
3 Hg 0.0000 0.0000 0.0000
4 Mo 0.5000 0.5000 0.5000

Entry 7:
This record from Alexandria via LeMat-Bulk describes a crystal of Mg2AlIn relaxed with PBEsol. The functional is meta-GGA SCAN.

Summary:
SG   No. 47
Energy   -51.4 eV per cell
Total moment   0.00 μB/cell

Lattice parameters (Å, degrees): 3.1297 4.2862 6.1529 90.00 90.00 90.00
Atoms (fractional coordinates):
1 Mg 0.0000 0.0000 0.2401
2 Mg 0.0000 0.0000 0.7599
3 Al 0.5000 0.5000 0.0000
4 In 0.5000 0.5000 0.5000

Entry 8:
This record from Alexandria via LeMat-Bulk describes a crystal of BeAsIr4 relaxed with PBEsol. The functional is meta-GGA SCAN.

Summary:
SG   No. 216
Energy   -305.0 eV per cell
Total moment   0.00 μB/cell

Lattice parameters (Å, degrees): 5.1157 5.1157 5.1157 60.00 60.00 60.00
Atoms (fractional coordinates):
1 Be 0.0000 0.0000 0.0000
2 As 0.2500 0.2500 0.2500
3 Ir 0.1243 0.6252 0.6252
4 Ir 0.6252 0.1243 0.6252
5 Ir 0.6252 0.6252 0.1243
6 Ir 0.6252 0.6252 0.6252

Entry 9:
This record from Alexandria via LeMat-Bulk describes a crystal of Ba2TaOs relaxed with PBEsol. The functional is meta-GGA SCAN.

Summary:
SG   No. 44
Total moment   0.00 μB/cell
Excess energy over the best structure of this formula in the dataset   155 meV per atom

Lattice parameters (Å, degrees): 6.6500 6.6500 6.6500 147.92 129.44 61.15
Atoms (fractional coordinates):
1 Ba 0.0000 0.0000 0.0000
2 Ba 0.7084 0.2084 0.5000
3 Ta 0.3977 0.3977 0.0000
4 Os 0.2610 0.7610 0.5000

Entry 10:
This record from Alexandria via LeMat-Bulk describes a crystal of BaSrSi3 relaxed with PBEsol. The functional is meta-GGA SCAN.

Summary:
SG   No. 221
Energy   -86.1 eV per cell
Total moment   0.00 μB/cell

Lattice parameters (Å, degrees): 5.5116 5.5116 5.5116 90.00 90.00 90.00
Atoms (fractional coordinates):
1 Ba 0.0000 0.0000 0.0000
2 Sr 0.5000 0.5000 0.5000
3 Si 0.0000 0.0000 0.5000
4 Si 0.0000 0.5000 0.0000
5 Si 0.5000 0.0000 0.0000

Entry 11:
This record from Alexandria via LeMat-Bulk describes a crystal of B3TeS relaxed with PBEsol. The functional is meta-GGA SCAN.

Summary:
SG   No. 221
Energy   -60.9 eV per cell
Total moment   0.00 μB/cell

Lattice parameters (Å, degrees): 3.9449 3.9449 3.9449 90.00 90.00 90.00
Atoms (fractional coordinates):
1 B 0.0000 0.0000 0.5000
2 B 0.0000 0.5000 0.0000
3 B 0.5000 0.0000 0.0000
4 Te 0.5000 0.5000 0.5000
5 S 0.0000 0.0000 0.0000

Entry 12:
This record from Alexandria via LeMat-Bulk describes a crystal of Mg2GeTe relaxed with PBEsol. The functional is meta-GGA SCAN.

Summary:
SG   No. 225
Energy   -66.5 eV per cell
Total moment   0.00 μB/cell

Lattice parameters (Å, degrees): 4.9834 4.9834 4.9834 60.00 60.00 60.00
Atoms (fractional coordinates):
1 Mg 0.2500 0.2500 0.2500
2 Mg 0.7500 0.7500 0.7500
3 Ge 0.0000 0.0000 0.0000
4 Te 0.5000 0.5000 0.5000